No. 1
First-principles (PBE-GGA) data for an optimized crystal structure of CsKTl6, as listed in the Alexandria database.

abc: 5.2658 8.1774 14.8557
angles: 90.00 90.00 90.00
Closest atoms and distances in Å follow each position.
Positions (direct):
Cs 0.0000 0.0000 0.0000  10 Tl 3.83-4.20
Cs 0.0000 0.5000 0.5000  10 Tl 3.83-4.20
K 0.5000 0.0000 0.3334  10 Tl 3.83-4.15
K 0.5000 0.5000 0.8334  10 Tl 3.83-4.15
Tl 0.0000 0.0000 0.5209  6 Tl 3.36-3.53
Tl 0.0000 0.2025 0.7308  6 Tl 3.20-3.53
Tl 0.0000 0.2975 0.2308  6 Tl 3.20-3.53
Tl 0.0000 0.5000 0.0209  6 Tl 3.36-3.53
Tl 0.0000 0.7025 0.2308  6 Tl 3.20-3.53
Tl 0.0000 0.7975 0.7308  6 Tl 3.20-3.53
Tl 0.5000 0.0000 0.8124  6 Tl 3.34-3.44
Tl 0.5000 0.1995 0.6086  6 Tl 3.20-3.44
Tl 0.5000 0.3005 0.1086  6 Tl 3.20-3.44
Tl 0.5000 0.5000 0.3124  6 Tl 3.34-3.44
Tl 0.5000 0.6995 0.1086  6 Tl 3.20-3.44
Tl 0.5000 0.8005 0.6086  6 Tl 3.20-3.44

Symmetry: Amm2, No. 38
DFT total energy: -33.43 eV for the cell shown
Energy relative to the elements: -6.9 kJ/mol of atoms
Crystal system: orthorhombic


No. 2
First-principles (PBE-GGA) data for an optimized crystal structure of Cs12K7Tl, as listed in the Alexandria database.

abc: 12.9270 12.9270 12.9270
angles: 106.55 106.55 106.55
Closest atoms and distances in Å follow each position.
Positions (direct):
Cs 0.0602 0.7867 0.2852  3 K 4.72-5.21, 2 Cs 5.11-5.25
Cs 0.1608 0.2281 0.4282  1 Tl 4.41, 4 K 4.49-4.93
Cs 0.2133 0.7148 0.9398  3 K 4.72-5.21, 2 Cs 5.11-5.25
Cs 0.2281 0.4282 0.1608  1 Tl 4.41, 4 K 4.49-4.93
Cs 0.2852 0.0602 0.7867  3 K 4.72-5.21, 2 Cs 5.11-5.25
Cs 0.4282 0.1608 0.2281  1 Tl 4.41, 4 K 4.49-4.93
Cs 0.5718 0.8392 0.7719  1 Tl 4.41, 4 K 4.49-4.93
Cs 0.7148 0.9398 0.2133  3 K 4.72-5.21, 2 Cs 5.11-5.25
Cs 0.7719 0.5718 0.8392  1 Tl 4.41, 4 K 4.49-4.93
Cs 0.7867 0.2852 0.0602  3 K 4.72-5.21, 2 Cs 5.11-5.25
Cs 0.8392 0.7719 0.5718  1 Tl 4.41, 4 K 4.49-4.93
Cs 0.9398 0.2133 0.7148  3 K 4.72-5.21, 2 Cs 5.11-5.25
K 0.0000 0.0000 0.0000  12 Cs 4.93-5.21
K 0.1915 0.6013 0.5309  5 Cs 4.49-4.97, 3 K 4.60-4.86, 1 Tl 4.62
K 0.3987 0.4691 0.8085  5 Cs 4.49-4.97, 3 K 4.60-4.86, 1 Tl 4.62
K 0.4691 0.8085 0.3987  5 Cs 4.49-4.97, 3 K 4.60-4.86, 1 Tl 4.62
K 0.5309 0.1915 0.6013  5 Cs 4.49-4.97, 3 K 4.60-4.86, 1 Tl 4.62
K 0.6013 0.5309 0.1915  5 Cs 4.49-4.97, 3 K 4.60-4.86, 1 Tl 4.62
K 0.8085 0.3987 0.4691  5 Cs 4.49-4.97, 3 K 4.60-4.86, 1 Tl 4.62
Tl 0.5000 0.5000 0.5000  6 Cs 4.41, 6 K 4.62

Symmetry: R-3, No. 148
DFT total energy: -19.95 eV for the cell shown
Energy relative to the elements: 1.7 kJ/mol of atoms
Crystal system: trigonal


No. 3
First-principles (PBE-GGA) data for an optimized crystal structure of Cs3KTl, as listed in the Alexandria database.

abc: 7.6288 7.6288 7.6288
angles: 90.00 90.00 90.00
Closest atoms and distances in Å follow each position.
Positions (direct):
Cs 0.0000 0.0000 0.5000  2 Tl 3.81
Cs 0.0000 0.5000 0.0000  2 Tl 3.81
Cs 0.5000 0.0000 0.0000  2 Tl 3.81
K 0.5000 0.5000 0.5000  12 Cs 5.39
Tl 0.0000 0.0000 0.0000  6 Cs 3.81

Symmetry: Pm-3m, No. 221
DFT total energy: -5.72 eV for the cell shown
Energy relative to the elements: 5.8 kJ/mol of atoms
Offset from the most stable computed form: 0.089 eV per atom
Crystal system: cubic


No. 4
First-principles (PBE-GGA) data for an optimized crystal structure of Cs5KTl4, as listed in the Alexandria database.

abc: 12.7544 12.7544 10.4810
angles: 111.10 111.10 24.68
Closest atoms and distances in Å follow each position.
Positions (direct):
Cs 0.0000 0.0000 0.0000  6 Tl 4.20-4.26
Cs 0.2967 0.2967 0.8887  4 Tl 4.00-4.09
Cs 0.3547 0.3547 0.4838  3 Tl 3.96-4.34
Cs 0.6453 0.6453 0.5162  3 Tl 3.96-4.34
Cs 0.7033 0.7033 0.1113  4 Tl 4.00-4.09
K 0.0000 0.0000 0.5000  6 Tl 3.60-3.82
Tl 0.1238 0.1238 0.8158  2 Tl 3.09
Tl 0.4393 0.4393 0.2291  2 Tl 3.09
Tl 0.5607 0.5607 0.7709  2 Tl 3.09
Tl 0.8762 0.8762 0.1842  2 Tl 3.09

Symmetry: C2/m, No. 12
DFT total energy: -15.34 eV for the cell shown
Energy relative to the elements: -4.9 kJ/mol of atoms
Crystal system: monoclinic


No. 5
First-principles (PBE-GGA) data for an optimized crystal structure of CsKTl5, as listed in the Alexandria database.

abc: 10.7011 6.9796 14.0788
angles: 90.00 90.00 90.00
Closest atoms and distances in Å follow each position.
Positions (direct):
Cs 0.2418 0.2500 0.0630  9 Tl 3.88-4.29, 1 K 4.13
Cs 0.2582 0.7500 0.5630  9 Tl 3.88-4.29, 1 K 4.13
Cs 0.7418 0.2500 0.4370  9 Tl 3.88-4.29, 1 K 4.13
Cs 0.7582 0.7500 0.9370  9 Tl 3.88-4.29, 1 K 4.13
K 0.1305 0.7500 0.8599  8 Tl 3.64-3.81
K 0.3695 0.2500 0.3599  8 Tl 3.64-3.81
K 0.6305 0.7500 0.6401  8 Tl 3.64-3.81
K 0.8695 0.2500 0.1401  8 Tl 3.64-3.81
Tl 0.0640 0.0056 0.3222  7 Tl 3.29-3.57
Tl 0.0640 0.4944 0.3222  7 Tl 3.29-3.57
Tl 0.0647 0.7500 0.1136  4 Tl 3.24-3.44
Tl 0.1057 0.2500 0.5295  5 Tl 3.29-3.41
Tl 0.1896 0.2500 0.7611  7 Tl 3.24-3.45
Tl 0.3104 0.7500 0.2611  7 Tl 3.24-3.45
Tl 0.3943 0.7500 0.0295  5 Tl 3.29-3.41
Tl 0.4353 0.2500 0.6136  4 Tl 3.24-3.44
Tl 0.4360 0.5056 0.8222  7 Tl 3.29-3.57
Tl 0.4360 0.9944 0.8222  7 Tl 3.29-3.57
Tl 0.5640 0.0056 0.1778  7 Tl 3.29-3.57
Tl 0.5640 0.4944 0.1778  7 Tl 3.29-3.57
Tl 0.5647 0.7500 0.3864  4 Tl 3.24-3.44
Tl 0.6057 0.2500 0.9705  5 Tl 3.29-3.41
Tl 0.6896 0.2500 0.7389  7 Tl 3.24-3.45
Tl 0.8104 0.7500 0.2389  7 Tl 3.24-3.45
Tl 0.8943 0.7500 0.4705  5 Tl 3.29-3.41
Tl 0.9353 0.2500 0.8864  4 Tl 3.24-3.44
Tl 0.9360 0.5056 0.6778  7 Tl 3.29-3.57
Tl 0.9360 0.9944 0.6778  7 Tl 3.29-3.57

Symmetry: Pnma, No. 62
DFT total energy: -57.47 eV for the cell shown
Energy relative to the elements: -8.1 kJ/mol of atoms
Crystal system: orthorhombic


No. 6
First-principles (PBE-GGA) data for an optimized crystal structure of Cs5K2Tl4, as listed in the Alexandria database.

abc: 9.5240 9.5240 10.6560
angles: 107.42 107.42 51.40
Closest atoms and distances in Å follow each position.
Positions (direct):
Cs 0.0000 0.0000 0.0000  2 Tl 4.10
Cs 0.1463 0.6361 0.5792  4 Tl 3.96-4.36, 2 Cs 4.05-4.21
Cs 0.3639 0.8537 0.4208  4 Tl 3.96-4.36, 2 Cs 4.05-4.21
Cs 0.6361 0.1463 0.5792  4 Tl 3.96-4.36, 2 Cs 4.05-4.21
Cs 0.8537 0.3639 0.4208  4 Tl 3.96-4.36, 2 Cs 4.05-4.21
K 0.2433 0.2433 0.8854  2 Tl 3.77-3.87
K 0.7567 0.7567 0.1146  2 Tl 3.77-3.87
Tl 0.2409 0.2409 0.2471  1 Tl 2.93
Tl 0.4063 0.4063 0.2251  1 Tl 2.93
Tl 0.5937 0.5937 0.7749  1 Tl 2.93
Tl 0.7591 0.7591 0.7529  1 Tl 2.93

Symmetry: C2/m, No. 12
DFT total energy: -15.44 eV for the cell shown
Energy relative to the elements: 4.3 kJ/mol of atoms
Crystal system: monoclinic


No. 7
First-principles (PBE-GGA) data for an optimized crystal structure of CsK2Tl6, as listed in the Alexandria database.

abc: 8.7868 8.7868 5.8751
angles: 109.37 109.37 65.55
Closest atoms and distances in Å follow each position.
Positions (direct):
Cs 0.0000 0.0000 0.0000  8 Tl 4.08-4.31
K 0.3553 0.3553 0.8537  10 Tl 3.54-3.89, 1 K 3.93
K 0.6447 0.6447 0.1463  10 Tl 3.54-3.89, 1 K 3.93
Tl 0.0967 0.4503 0.2719  4 Tl 3.08-3.36
Tl 0.3312 0.6688 0.5000  3 Tl 3.08-3.21
Tl 0.4503 0.0967 0.2719  4 Tl 3.08-3.36
Tl 0.5497 0.9033 0.7281  4 Tl 3.08-3.36
Tl 0.6688 0.3312 0.5000  3 Tl 3.08-3.21
Tl 0.9033 0.5497 0.7281  4 Tl 3.08-3.36

Symmetry: C2/m, No. 12
DFT total energy: -17.58 eV for the cell shown
Energy relative to the elements: -3.6 kJ/mol of atoms
Offset from the most stable computed form: 0.017 eV per atom
Crystal system: monoclinic


No. 8
First-principles (PBE-GGA) data for an optimized crystal structure of CsK6Tl4, as listed in the Alexandria database.

abc: 9.4303 9.4303 9.4303
angles: 121.49 121.49 87.44
Closest atoms and distances in Å follow each position.
Positions (direct):
Cs 0.0000 0.0000 0.0000  12 K 4.59-5.01, 4 Tl 4.69
K 0.0000 0.5000 0.5000  4 Tl 3.63
K 0.0937 0.0937 0.6208  4 Tl 3.71-3.83
K 0.4730 0.4730 0.3792  4 Tl 3.71-3.83
K 0.5000 0.0000 0.5000  4 Tl 3.63
K 0.5270 0.9063 0.0000  4 Tl 3.71-3.83
K 0.9063 0.5270 0.0000  4 Tl 3.71-3.83
Tl 0.2925 0.5844 0.0000  2 Tl 3.17
Tl 0.4156 0.4156 0.7081  2 Tl 3.17
Tl 0.5844 0.2925 0.0000  2 Tl 3.17
Tl 0.7075 0.7075 0.2919  2 Tl 3.17

Symmetry: I-42m, No. 121
DFT total energy: -17.88 eV for the cell shown
Energy relative to the elements: -8.5 kJ/mol of atoms
Crystal system: tetragonal


No. 9
First-principles (PBE-GGA) data for an optimized crystal structure of Cs3KTl6, as listed in the Alexandria database.

abc: 8.0208 8.0208 9.7137
angles: 111.71 111.71 63.47
Closest atoms and distances in Å follow each position.
Positions (direct):
Cs 0.0000 0.0000 0.0000  6 Tl 3.94-4.24
Cs 0.4099 0.4099 0.1803  8 Tl 3.99-4.41
Cs 0.5901 0.5901 0.8197  8 Tl 3.99-4.41
K 0.0000 0.0000 0.5000  6 Tl 3.74-3.88
Tl 0.0970 0.4684 0.7459  3 Tl 3.13-3.17
Tl 0.2563 0.2563 0.4488  4 Tl 3.16-3.17
Tl 0.4684 0.0970 0.7459  3 Tl 3.13-3.17
Tl 0.5316 0.9030 0.2541  3 Tl 3.13-3.17
Tl 0.7437 0.7437 0.5512  4 Tl 3.16-3.17
Tl 0.9030 0.5316 0.2541  3 Tl 3.13-3.17

Symmetry: C2/m, No. 12
DFT total energy: -18.31 eV for the cell shown
Energy relative to the elements: -4.4 kJ/mol of atoms
Crystal system: monoclinic


No. 10
First-principles (PBE-GGA) data for an optimized crystal structure of Cs2K4Tl, as listed in the Alexandria database.

abc: 6.9843 6.9843 23.0334
angles: 90.00 90.00 90.00
Closest atoms and distances in Å follow each position.
Positions (direct):
Cs 0.0000 0.0000 0.1429  9 K 4.67-4.95
Cs 0.0000 0.0000 0.8571  9 K 4.67-4.95
Cs 0.5000 0.5000 0.3571  9 K 4.67-4.95
Cs 0.5000 0.5000 0.6429  9 K 4.67-4.95
K 0.0000 0.0000 0.3456  1 Tl 3.56
K 0.0000 0.0000 0.6544  1 Tl 3.56
K 0.0000 0.5000 0.0000  2 Tl 3.49
K 0.0000 0.5000 0.5000  2 Tl 3.49
K 0.5000 0.0000 0.0000  2 Tl 3.49
K 0.5000 0.0000 0.5000  2 Tl 3.49
K 0.5000 0.5000 0.1544  1 Tl 3.56
K 0.5000 0.5000 0.8456  1 Tl 3.56
Tl 0.0000 0.0000 0.5000  6 K 3.49-3.56
Tl 0.5000 0.5000 0.0000  6 K 3.49-3.56

Symmetry: I4/mmm, No. 139
DFT total energy: -16.42 eV for the cell shown
Energy relative to the elements: 3.5 kJ/mol of atoms
Offset from the most stable computed form: 0.055 eV per atom
Crystal system: tetragonal


No. 11
First-principles (PBE-GGA) data for an optimized crystal structure of CsK4Tl2, as listed in the Alexandria database.

abc: 8.7684 10.2789 10.2990
angles: 107.52 102.26 109.57
Closest atoms and distances in Å follow each position.
Positions (direct):
Cs 0.0000 0.0000 0.0000  4 Tl 3.96-4.34, 3 K 4.29-4.43
Cs 0.4249 0.5269 0.1772  3 Tl 3.98-4.19, 1 K 4.18
K 0.0017 0.7435 0.2736  3 Tl 3.82-4.15, 2 K 3.98-4.24
K 0.0209 0.4006 0.4158  3 Tl 3.82-3.90, 2 K 4.24
K 0.0961 0.0976 0.6256  3 Tl 3.86-4.04, 1 K 3.98
K 0.5034 0.6194 0.7918  3 Tl 3.74-3.99
K 0.5083 0.2339 0.4147  3 Tl 3.90-4.01, 2 K 4.19-4.24
K 0.5489 0.9003 0.5545  3 Tl 3.78-3.84, 1 Cs 4.18, 1 K 4.19
K 0.5929 0.1648 0.9816  2 Tl 3.70-3.78
K 0.9468 0.4910 0.8276  3 Tl 3.78-3.94
Tl 0.2039 0.7993 0.7285  2 Tl 3.11-3.28
Tl 0.3568 0.8490 0.0684  2 Tl 3.05-3.28
Tl 0.7301 0.9787 0.2697  1 Tl 3.05
Tl 0.8108 0.6669 0.5575  1 Tl 3.11

Symmetry: P1, No. 1
DFT total energy: -20.50 eV for the cell shown
Energy relative to the elements: -3.8 kJ/mol of atoms
Crystal system: triclinic


The lowest DFT total energy belongs to which entry? CsKTl5